Entry 1:
A plane-wave DFT calculation with PBE-GGA was carried out for crystalline CsSmAgS2 at its relaxed geometry.

Unit cell a=8.024 b=5.165 c=8.009 alpha=90.00 beta=99.11 gamma=90.00
Fractional positions:
Cs: 0.000 0.140 0.250
Cs: 0.000 0.860 0.750
Sm: 0.500 0.494 0.750
Sm: 0.500 0.506 0.250
Ag: 0.500 0.000 0.000
Ag: 0.500 0.000 0.500
S: 0.278 0.365 0.966
S: 0.278 0.635 0.466
S: 0.722 0.365 0.534
S: 0.722 0.635 0.034

The total magnetic moment comes out at 0.0 μB/cell. Its formation energy without anion corrections is -5.52 eV per formula unit. As for the space-group type: P2/c (13). As for the crystal system: monoclinic.

Entry 2:
A plane-wave DFT calculation with PBE-GGA was carried out for crystalline CsAgSnS2 at its relaxed geometry.

Unit cell a=8.506 b=8.506 c=5.948 alpha=90.00 beta=90.00 gamma=129.75
Fractional positions:
Cs: 0.250 0.750 0.768
Cs: 0.750 0.250 0.232
Ag: 0.000 0.000 0.000
Ag: 0.500 0.500 0.000
Sn: 0.250 0.250 0.500
Sn: 0.750 0.750 0.500
S: 0.114 0.886 0.270
S: 0.386 0.614 0.270
S: 0.614 0.386 0.730
S: 0.886 0.114 0.730

The total magnetic moment comes out at 0.0 μB/cell. Its formation energy without anion corrections is -2.52 eV per formula unit. As for the space-group type: Cmme (67). As for the crystal system: orthorhombic.

Entry 3:
A plane-wave DFT calculation with PBE-GGA was carried out for crystalline CsTaAgS4 at its relaxed geometry.

Unit cell a=6.049 b=7.866 c=10.020 alpha=90.00 beta=105.35 gamma=90.00
Fractional positions:
Cs: 0.142 0.250 0.339
Cs: 0.858 0.750 0.661
Ta: 0.378 0.750 0.235
Ta: 0.622 0.250 0.765
Ag: 0.129 0.250 0.775
Ag: 0.871 0.750 0.225
S: 0.076 0.750 0.041
S: 0.235 0.750 0.426
S: 0.402 0.012 0.761
S: 0.402 0.488 0.761
S: 0.598 0.512 0.239
S: 0.598 0.988 0.239
S: 0.765 0.250 0.574
S: 0.924 0.250 0.959

The total magnetic moment comes out at 0.0 μB/cell. Its formation energy without anion corrections is -5.23 eV per formula unit. As for the space-group type: P2_1/m (11). As for the crystal system: monoclinic.

Entry 4:
A plane-wave DFT calculation with PBE-GGA was carried out for crystalline Cs2TcAgS4 at its relaxed geometry.

Unit cell a=6.936 b=6.936 c=6.936 alpha=113.30 beta=113.30 gamma=102.05
Fractional positions:
Cs: 0.000 0.000 0.000
Cs: 0.750 0.250 0.500
Tc: 0.500 0.500 0.000
Ag: 0.250 0.750 0.500
S: 0.240 0.575 0.092
S: 0.425 0.517 0.665
S: 0.483 0.148 0.908
S: 0.852 0.760 0.335

The total magnetic moment comes out at 1.8 μB/cell. Its formation energy without anion corrections is -5.18 eV per formula unit. As for the space-group type: I-4 (82). As for the crystal system: tetragonal.